No. 1
# CsRb2Te2

A relaxed structure of CsRb2Te2 (PBEsol, the Alexandria database).

* total magnetic moment: 0.003 μB per atom
* calculated total energy: -26.65 eV per cell
* D(E_F): 5.59 states/eV/f.u.
* E_form (uncorrected): -0.656 eV per atom

a = 6.4932 Å, b = 6.4932 Å, c = 11.6751 Å
α = 90.00°, β = 90.00°, γ = 90.00°
Space group I4/mmm (No. 139)
One atom of each set of equivalent atoms:
Cs 0.0000 0.0000 0.0000 [2 per cell]
Rb 0.0000 0.0000 0.3480 [4 per cell]
Te 0.0000 0.5000 0.2500 [4 per cell]



No. 2
# Cs3RbTe

A relaxed structure of Cs3RbTe (PBEsol, the Alexandria database).

* total magnetic moment: 0.000 μB per atom
* calculated total energy: -6.58 eV per cell
* D(E_F): 0.37 states/eV/f.u.
* E_form (uncorrected): 0.159 eV per atom

a = 7.5361 Å, b = 7.5361 Å, c = 7.5361 Å
α = 90.00°, β = 90.00°, γ = 90.00°
Space group Pm-3m (No. 221)
One atom of each set of equivalent atoms:
Cs 0.0000 0.0000 0.5000 [3 per cell]
Rb 0.0000 0.0000 0.0000 [1 per cell]
Te 0.5000 0.5000 0.5000 [1 per cell]



No. 3
# Cs3RbTe

A relaxed structure of Cs3RbTe (PBEsol, the Alexandria database).

* total magnetic moment: 0.000 μB per atom
* calculated total energy: -10.01 eV per cell
* D(E_F): 1.86 states/eV/f.u.
* E_form (uncorrected): -0.526 eV per atom

a = 7.3999 Å, b = 7.3999 Å, c = 7.3999 Å
α = 90.00°, β = 90.00°, γ = 90.00°
Space group Pm-3m (No. 221)
One atom of each set of equivalent atoms:
Cs 0.0000 0.0000 0.5000 [3 per cell]
Rb 0.5000 0.5000 0.5000 [1 per cell]
Te 0.0000 0.0000 0.0000 [1 per cell]



No. 4
# CsRb14Tl27

A relaxed structure of CsRb14Tl27 (PBEsol, the Alexandria database).

* total magnetic moment: 0.000 μB per atom
* calculated total energy: -91.56 eV per cell
* D(E_F): 18.46 states/eV/f.u.

a = 10.2542 Å, b = 10.2542 Å, c = 17.5374 Å
α = 90.00°, β = 90.00°, γ = 120.00°
Space group P-62m (No. 189)
One atom of each set of equivalent atoms:
Cs 0.0000 0.0000 0.0000 [1 per cell]
Rb 0.0000 0.2702 0.1867 [6 per cell]
Rb 0.0000 0.6125 0.3147 [6 per cell]
Rb 0.3333 0.6667 0.5000 [2 per cell]
Tl 0.0000 0.0000 0.3510 [2 per cell]
Tl 0.0000 0.2868 0.4087 [6 per cell]
Tl 0.0000 0.6190 0.1017 [6 per cell]
Tl 0.0000 0.7863 0.5000 [3 per cell]
Tl 0.1731 0.4631 0.0000 [6 per cell]
Tl 0.3333 0.6667 0.1564 [4 per cell]



No. 5
# CsRbTl3

A relaxed structure of CsRbTl3 (PBEsol, the Alexandria database).

* total magnetic moment: 0.000 μB per atom
* calculated total energy: -7.41 eV per cell
* D(E_F): 5.92 states/eV/f.u.

a = 6.3916 Å, b = 6.3916 Å, c = 6.3916 Å
α = 90.00°, β = 90.00°, γ = 90.00°
Space group Pm-3m (No. 221)
One atom of each set of equivalent atoms:
Cs 0.0000 0.0000 0.0000 [1 per cell]
Rb 0.5000 0.5000 0.5000 [1 per cell]
Tl 0.0000 0.5000 0.5000 [3 per cell]



No. 6
# Cs3RbTl

A relaxed structure of Cs3RbTl (PBEsol, the Alexandria database).

* total magnetic moment: 0.000 μB per atom
* calculated total energy: -6.19 eV per cell
* D(E_F): 5.89 states/eV/f.u.

a = 7.4649 Å, b = 7.4649 Å, c = 7.4649 Å
α = 90.00°, β = 90.00°, γ = 90.00°
Space group Pm-3m (No. 221)
One atom of each set of equivalent atoms:
Cs 0.0000 0.0000 0.5000 [3 per cell]
Rb 0.5000 0.5000 0.5000 [1 per cell]
Tl 0.0000 0.0000 0.0000 [1 per cell]



No. 7
# Cs3RbZn

A relaxed structure of Cs3RbZn (PBEsol, the Alexandria database).

* total magnetic moment: 0.000 μB per atom
* calculated total energy: -3.04 eV per cell
* D(E_F): 6.47 states/eV/f.u.

a = 8.6622 Å, b = 8.6622 Å, c = 8.6622 Å
α = 90.00°, β = 90.00°, γ = 90.00°
Space group Pm-3m (No. 221)
One atom of each set of equivalent atoms:
Cs 0.0000 0.0000 0.5000 [3 per cell]
Rb 0.0000 0.0000 0.0000 [1 per cell]
Zn 0.5000 0.5000 0.5000 [1 per cell]



No. 8
# Cs3ReRu

A relaxed structure of Cs3ReRu (PBEsol, the Alexandria database).

* total magnetic moment: 0.704 μB per atom
* calculated total energy: -14.32 eV per cell
* D(E_F): 4.31 states/eV/f.u.

a = 5.7398 Å, b = 5.7398 Å, c = 5.7398 Å
α = 90.00°, β = 90.00°, γ = 90.00°
Space group Pm-3m (No. 221)
One atom of each set of equivalent atoms:
Cs 0.0000 0.0000 0.5000 [3 per cell]
Re 0.0000 0.0000 0.0000 [1 per cell]
Ru 0.5000 0.5000 0.5000 [1 per cell]



No. 9
# CsReRu3

A relaxed structure of CsReRu3 (PBEsol, the Alexandria database).

* total magnetic moment: 0.275 μB per atom
* calculated total energy: -35.99 eV per cell
* D(E_F): 11.09 states/eV/f.u.

a = 4.7675 Å, b = 4.7675 Å, c = 4.7675 Å
α = 90.00°, β = 90.00°, γ = 90.00°
Space group Pm-3m (No. 221)
One atom of each set of equivalent atoms:
Cs 0.0000 0.0000 0.0000 [1 per cell]
Re 0.5000 0.5000 0.5000 [1 per cell]
Ru 0.0000 0.5000 0.5000 [3 per cell]



No. 10
# Cs2Re2S5

A relaxed structure of Cs2Re2S5 (PBEsol, the Alexandria database).

* total magnetic moment: 0.007 μB per atom
* calculated total energy: -1044.72 eV per cell
* E_form (uncorrected): -0.841 eV per atom

a = 13.7396 Å, b = 13.7396 Å, c = 28.1231 Å
α = 90.00°, β = 90.00°, γ = 120.00°
Space group R-3c (No. 167, hexagonal axes)
One atom of each set of equivalent atoms:
Cs 0.0406 0.2128 0.1803 [36 per cell]
Re 0.0099 0.1149 0.5380 [36 per cell]
S 0.0000 0.0000 0.1042 [12 per cell]
S 0.0000 0.0000 0.2500 [6 per cell]
S 0.0131 0.2500 0.5951 [36 per cell]
S 0.0179 0.2106 0.4652 [36 per cell]



No. 11
# Cs2TlReSi

A relaxed structure of Cs2TlReSi (PBEsol, the Alexandria database).

* total magnetic moment: 0.929 μB per atom
* calculated total energy: -14.90 eV per cell
* D(E_F): 4.47 states/eV/f.u.
* E_form (uncorrected): 1.739 eV per atom

a = 7.0533 Å, b = 7.0533 Å, c = 4.9738 Å
α = 90.00°, β = 90.00°, γ = 90.00°
Space group P4/mmm (No. 123)
One atom of each set of equivalent atoms:
Cs 0.0000 0.5000 0.0000 [2 per cell]
Tl 0.0000 0.0000 0.0000 [1 per cell]
Re 0.5000 0.5000 0.5000 [1 per cell]
Si 0.0000 0.0000 0.5000 [1 per cell]



No. 12
# Cs3ReTc

A relaxed structure of Cs3ReTc (PBEsol, the Alexandria database).

* total magnetic moment: 0.835 μB per atom
* calculated total energy: -15.48 eV per cell
* D(E_F): 5.73 states/eV/f.u.

a = 5.6443 Å, b = 5.6443 Å, c = 5.6443 Å
α = 90.00°, β = 90.00°, γ = 90.00°
Space group Pm-3m (No. 221)
One atom of each set of equivalent atoms:
Cs 0.0000 0.0000 0.5000 [3 per cell]
Re 0.5000 0.5000 0.5000 [1 per cell]
Tc 0.0000 0.0000 0.0000 [1 per cell]



No. 13
# CsReTc3

A relaxed structure of CsReTc3 (PBEsol, the Alexandria database).

* total magnetic moment: 0.211 μB per atom
* calculated total energy: -29.32 eV per cell
* D(E_F): 5.47 states/eV/f.u.

a = 4.6990 Å, b = 4.6990 Å, c = 4.6990 Å
α = 90.00°, β = 90.00°, γ = 90.00°
Space group Pm-3m (No. 221)
One atom of each set of equivalent atoms:
Cs 0.0000 0.0000 0.0000 [1 per cell]
Re 0.5000 0.5000 0.5000 [1 per cell]
Tc 0.0000 0.0000 0.5000 [3 per cell]



No. 14
# CsReTc3

A relaxed structure of CsReTc3 (PBEsol, the Alexandria database).

* total magnetic moment: 0.698 μB per atom
* calculated total energy: -38.35 eV per cell
* D(E_F): 5.76 states/eV/f.u.

a = 4.8155 Å, b = 4.8155 Å, c = 4.8155 Å
α = 90.00°, β = 90.00°, γ = 90.00°
Space group Pm-3m (No. 221)
One atom of each set of equivalent atoms:
Cs 0.0000 0.0000 0.0000 [1 per cell]
Re 0.5000 0.5000 0.5000 [1 per cell]
Tc 0.0000 0.5000 0.5000 [3 per cell]



No. 15
# Cs2TiRe

A relaxed structure of Cs2TiRe (PBEsol, the Alexandria database).

* total magnetic moment: 0.127 μB per atom
* calculated total energy: -57.41 eV per cell
* D(E_F): 3.61 states/eV/f.u.

a = 7.6346 Å, b = 7.6346 Å, c = 7.6346 Å
α = 90.00°, β = 90.00°, γ = 90.00°
Space group Fm-3m (No. 225)
One atom of each set of equivalent atoms:
Cs 0.2500 0.2500 0.2500 [8 per cell]
Ti 0.0000 0.0000 0.0000 [4 per cell]
Re 0.0000 0.0000 0.5000 [4 per cell]



No. 16
# CsTiRe3

A relaxed structure of CsTiRe3 (PBEsol, the Alexandria database).

* total magnetic moment: 0.866 μB per atom
* calculated total energy: -36.98 eV per cell
* D(E_F): 4.77 states/eV/f.u.

a = 4.7684 Å, b = 4.7684 Å, c = 4.7684 Å
α = 90.00°, β = 90.00°, γ = 90.00°
Space group Pm-3m (No. 221)
One atom of each set of equivalent atoms:
Cs 0.0000 0.0000 0.0000 [1 per cell]
Ti 0.5000 0.5000 0.5000 [1 per cell]
Re 0.0000 0.5000 0.5000 [3 per cell]



No. 17
# CsTi2Re

A relaxed structure of CsTi2Re (PBEsol, the Alexandria database).

* total magnetic moment: 0.000 μB per atom
* calculated total energy: -103.40 eV per cell
* D(E_F): 6.72 states/eV/f.u.

a = 6.6567 Å, b = 6.6567 Å, c = 6.6567 Å
α = 90.00°, β = 90.00°, γ = 90.00°
Space group Fm-3m (No. 225)
One atom of each set of equivalent atoms:
Cs 0.0000 0.0000 0.0000 [4 per cell]
Ti 0.2500 0.2500 0.2500 [8 per cell]
Re 0.0000 0.0000 0.5000 [4 per cell]



No. 18
# Cs3TiRe

A relaxed structure of Cs3TiRe (PBEsol, the Alexandria database).

* total magnetic moment: 1.741 μB per atom
* calculated total energy: -12.87 eV per cell
* D(E_F): 11.23 states/eV/f.u.

a = 6.5522 Å, b = 6.5522 Å, c = 6.5522 Å
α = 90.00°, β = 90.00°, γ = 90.00°
Space group Pm-3m (No. 221)
One atom of each set of equivalent atoms:
Cs 0.0000 0.0000 0.5000 [3 per cell]
Ti 0.0000 0.0000 0.0000 [1 per cell]
Re 0.5000 0.5000 0.5000 [1 per cell]



No. 19
# CsTlRe3

A relaxed structure of CsTlRe3 (PBEsol, the Alexandria database).

* total magnetic moment: 0.803 μB per atom
* calculated total energy: -23.44 eV per cell
* D(E_F): 6.91 states/eV/f.u.

a = 4.9334 Å, b = 4.9334 Å, c = 4.9334 Å
α = 90.00°, β = 90.00°, γ = 90.00°
Space group Pm-3m (No. 221)
One atom of each set of equivalent atoms:
Cs 0.0000 0.0000 0.0000 [1 per cell]
Tl 0.5000 0.5000 0.5000 [1 per cell]
Re 0.0000 0.0000 0.5000 [3 per cell]



No. 20
# CsRuRh2

A relaxed structure of CsRuRh2 (PBEsol, the Alexandria database).

* total magnetic moment: 0.325 μB per atom
* calculated total energy: -85.96 eV per cell
* D(E_F): 7.09 states/eV/f.u.

a = 6.5350 Å, b = 6.5350 Å, c = 6.5350 Å
α = 90.00°, β = 90.00°, γ = 90.00°
Space group Fm-3m (No. 225)
One atom of each set of equivalent atoms:
Cs 0.0000 0.0000 0.0000 [4 per cell]
Ru 0.0000 0.0000 0.5000 [4 per cell]
Rh 0.2500 0.2500 0.2500 [8 per cell]